(1)
## ZrGaRe2Cl (PBE)

Data for a relaxed structure of ZrGaRe2Cl.

The structure in extended XYZ format:
```
5
Lattice="4.7443 0.0000 0.0000 0.0000 4.6904 0.0000 0.0000 0.0000 4.7443" Properties=species:S:1:pos:R:3 pbc="T T T"
Cl 0.0000 2.3452 0.0000
Ga 0.0000 0.0000 0.0000
Re 0.0000 0.0000 2.3721
Zr 2.3721 2.3452 2.3721
Re 2.3721 0.0000 0.0000
```

Output
* symmetry: P4/mmm (123)
* final energy: -6.164 eV/atom
* ΔE_f (raw): 1499.4 meV per atom

(2)
## GaRhCl3 (PBE)

Data for a relaxed structure of GaRhCl3.

The structure in extended XYZ format:
```
5
Lattice="4.8540 0.0000 0.0000 0.0000 4.8540 0.0000 0.0000 0.0000 4.8540" Properties=species:S:1:pos:R:3 pbc="T T T"
Cl 2.4270 0.0000 0.0000
Cl 0.0000 2.4270 0.0000
Ga 2.4270 2.4270 2.4270
Cl 0.0000 0.0000 2.4270
Rh 0.0000 0.0000 0.0000
```

Output
* symmetry: Pm-3m (221)
* final energy: -3.594 eV/atom
* ΔE_f (raw): -410.1 meV per atom
* energy above the most stable polymorph in this dataset: 0 meV per atom

(3)
## GaRh3Cl (PBE)

Data for a relaxed structure of GaRh3Cl.

The structure in extended XYZ format:
```
5
Lattice="4.4146 0.0000 0.0000 0.0000 4.4146 0.0000 0.0000 0.0000 4.4146" Properties=species:S:1:pos:R:3 pbc="T T T"
Rh 2.2073 0.0000 0.0000
Ga 2.2073 2.2073 2.2073
Rh 0.0000 2.2073 0.0000
Rh 0.0000 0.0000 2.2073
Cl 0.0000 0.0000 0.0000
```

Output
* symmetry: Pm-3m (221)
* final energy: -4.712 eV/atom
* ΔE_f (raw): 673.8 meV per atom
* energy above the most stable polymorph in this dataset: 0 meV per atom

(4)
## GaRh3Cl (PBE)

Data for a relaxed structure of GaRh3Cl.

The structure in extended XYZ format:
```
5
Lattice="4.6608 0.0000 0.0000 0.0000 4.6608 0.0000 0.0000 0.0000 4.6608" Properties=species:S:1:pos:R:3 pbc="T T T"
Rh 2.3304 0.0000 0.0000
Rh 0.0000 0.0000 2.3304
Ga 0.0000 0.0000 0.0000
Rh 0.0000 2.3304 0.0000
Cl 2.3304 2.3304 2.3304
```

Output
* symmetry: Pm-3m (221)
* final energy: -4.429 eV/atom
* ΔE_f (raw): 956.6 meV per atom
* energy above the most stable polymorph in this dataset: 283 meV per atom